Arrangement a

The following is a DFT calculation (PBE) of a geometry-optimized Sr2CaI6 structure.

Lattice parameters (Å, degrees): 7.6691 7.6691 14.6531 90.00 90.00 90.00
Element x y z (fractional)
Sr (0.0000, 0.0000, 0.1664)
Sr (0.0000, 0.0000, 0.8336)
Sr (0.5000, 0.5000, 0.3336)
Sr (0.5000, 0.5000, 0.6664)
Ca (0.0000, 0.0000, 0.5000)
Ca (0.5000, 0.5000, 0.0000)
I (0.1942, 0.1942, 0.3398)
I (0.1942, 0.1942, 0.6602)
I (0.2052, 0.2052, 0.0000)
I (0.2948, 0.7052, 0.5000)
I (0.3058, 0.6942, 0.1602)
I (0.3058, 0.6942, 0.8398)
I (0.6942, 0.3058, 0.1602)
I (0.6942, 0.3058, 0.8398)
I (0.7052, 0.2948, 0.5000)
I (0.7948, 0.7948, 0.0000)
I (0.8058, 0.8058, 0.3398)
I (0.8058, 0.8058, 0.6602)

Summary:
Size of the total moment: 0.0 μB/f.u.


Arrangement b

The following is a DFT calculation (PBE) of a geometry-optimized Sr2CaI6 structure.

Lattice parameters (Å, degrees): 13.2578 13.2578 8.4537 106.53 106.53 34.77
Element x y z (fractional)
Sr (0.0234, 0.6273, 0.8133)
Sr (0.3727, 0.9766, 0.6867)
Sr (0.6273, 0.0234, 0.3133)
Sr (0.9766, 0.3727, 0.1867)
Ca (0.3331, 0.6669, 0.2500)
Ca (0.6669, 0.3331, 0.7500)
I (0.0594, 0.1194, 0.8445)
I (0.1194, 0.0594, 0.3445)
I (0.2644, 0.2653, 0.0221)
I (0.2653, 0.2644, 0.5221)
I (0.4181, 0.4192, 0.9274)
I (0.4192, 0.4181, 0.4274)
I (0.5808, 0.5819, 0.5726)
I (0.5819, 0.5808, 0.0726)
I (0.7347, 0.7356, 0.4779)
I (0.7356, 0.7347, 0.9779)
I (0.8806, 0.9406, 0.6555)
I (0.9406, 0.8806, 0.1555)

Summary:
Size of the total moment: 0.0 μB/f.u.


Arrangement c

The following is a DFT calculation (PBE) of a geometry-optimized Sr2CaI6 structure.

Lattice parameters (Å, degrees): 8.1711 8.1711 7.1261 90.00 90.00 120.00
Element x y z (fractional)
Sr (0.3333, 0.6667, 0.0000)
Sr (0.6667, 0.3333, 0.0000)
Ca (0.0000, 0.0000, 0.5000)
I (0.0000, 0.3286, 0.7419)
I (0.0000, 0.6714, 0.2581)
I (0.3286, 0.0000, 0.7419)
I (0.3286, 0.3286, 0.2581)
I (0.6714, 0.0000, 0.2581)
I (0.6714, 0.6714, 0.7419)

Summary:
Size of the total moment: 0.0 μB/f.u.


Short version: arrangement b is the least stable of them.


Arrangement a

The following is a DFT calculation (PBE) of a geometry-optimized Sr2CaI6 structure.

Lattice parameters (Å, degrees): 7.8003 8.3474 13.6073 90.00 119.40 90.00
Element x y z (fractional)
Sr (0.1740, 0.1032, 0.2283)
Sr (0.1740, 0.3968, 0.7283)
Sr (0.8260, 0.6032, 0.2717)
Sr (0.8260, 0.8968, 0.7717)
Ca (0.5000, 0.0000, 0.0000)
Ca (0.5000, 0.5000, 0.5000)
I (0.1164, 0.1900, 0.9378)
I (0.1164, 0.3100, 0.4378)
I (0.2394, 0.6840, 0.9170)
I (0.2394, 0.8160, 0.4170)
I (0.4195, 0.0590, 0.7555)
I (0.4195, 0.4410, 0.2555)
I (0.5805, 0.5591, 0.7445)
I (0.5805, 0.9410, 0.2445)
I (0.7606, 0.1840, 0.5830)
I (0.7606, 0.3160, 0.0830)
I (0.8836, 0.6900, 0.5622)
I (0.8836, 0.8100, 0.0622)

Summary:
Size of the total moment: 0.0 μB/f.u.


Arrangement b

The following is a DFT calculation (PBE) of a geometry-optimized Sr2CaI6 structure.

Lattice parameters (Å, degrees): 12.6882 12.6882 8.0188 90.00 90.00 37.00
Element x y z (fractional)
Sr (0.1656, 0.1656, 0.0000)
Sr (0.3344, 0.3344, 0.5000)
Sr (0.6656, 0.6656, 0.5000)
Sr (0.8344, 0.8344, 0.0000)
Ca (0.0000, 0.0000, 0.5000)
Ca (0.5000, 0.5000, 0.0000)
I (0.0239, 0.4761, 0.7500)
I (0.1256, 0.7063, 0.7141)
I (0.2063, 0.6256, 0.2141)
I (0.2937, 0.8744, 0.7141)
I (0.3744, 0.7937, 0.2141)
I (0.4761, 0.0239, 0.2500)
I (0.5239, 0.9761, 0.7500)
I (0.6256, 0.2063, 0.7859)
I (0.7063, 0.1256, 0.2859)
I (0.7937, 0.3744, 0.7859)
I (0.8744, 0.2937, 0.2859)
I (0.9761, 0.5239, 0.2500)

Summary:
Size of the total moment: 0.0 μB/f.u.


Arrangement c

The following is a DFT calculation (PBE) of a geometry-optimized Sr2CaI6 structure.

Lattice parameters (Å, degrees): 10.4746 10.4746 9.3956 101.64 101.64 26.16
Element x y z (fractional)
Sr (0.1642, 0.1642, 0.3314)
Sr (0.8358, 0.8358, 0.6686)
Ca (0.5000, 0.5000, 0.0000)
I (0.0010, 0.0010, 0.7720)
I (0.3306, 0.3306, 0.4215)
I (0.3416, 0.3416, 0.9158)
I (0.6584, 0.6584, 0.0842)
I (0.6694, 0.6694, 0.5785)
I (0.9990, 0.9990, 0.2280)

Summary:
Size of the total moment: 0.0 μB/f.u.


Short version: arrangement b is the least stable of them.


Arrangement a

The following is a DFT calculation (PBE) of a geometry-optimized Sr2CaI6 structure.

Lattice parameters (Å, degrees): 7.3956 27.5695 8.1973 90.00 90.00 90.00
Element x y z (fractional)
Sr (0.0000, 0.0481, 0.2500)
Sr (0.0000, 0.2854, 0.7500)
Sr (0.0000, 0.7146, 0.2500)
Sr (0.0000, 0.9519, 0.7500)
Sr (0.5000, 0.2146, 0.2500)
Sr (0.5000, 0.4519, 0.7500)
Sr (0.5000, 0.5481, 0.2500)
Sr (0.5000, 0.7854, 0.7500)
Ca (0.0000, 0.3807, 0.2500)
Ca (0.0000, 0.6193, 0.7500)
Ca (0.5000, 0.1193, 0.7500)
Ca (0.5000, 0.8807, 0.2500)
I (0.2400, 0.3710, 0.5661)
I (0.2400, 0.6290, 0.0661)
I (0.2409, 0.2993, 0.0840)
I (0.2409, 0.7007, 0.5840)
I (0.2498, 0.0390, 0.5844)
I (0.2502, 0.4610, 0.0844)
I (0.2502, 0.5390, 0.5844)
I (0.2498, 0.9610, 0.0844)
I (0.2591, 0.2007, 0.5840)
I (0.2591, 0.7993, 0.0840)
I (0.2600, 0.1290, 0.0661)
I (0.2600, 0.8710, 0.5661)
I (0.7400, 0.1290, 0.4339)
I (0.7400, 0.8710, 0.9339)
I (0.7409, 0.2007, 0.9160)
I (0.7409, 0.7993, 0.4160)
I (0.7502, 0.0390, 0.9156)
I (0.7498, 0.4610, 0.4156)
I (0.7498, 0.5390, 0.9156)
I (0.7502, 0.9610, 0.4156)
I (0.7591, 0.2993, 0.4160)
I (0.7591, 0.7007, 0.9160)
I (0.7600, 0.3710, 0.9339)
I (0.7600, 0.6290, 0.4339)

Summary:
Size of the total moment: 0.0 μB/f.u.


Arrangement b

The following is a DFT calculation (PBE) of a geometry-optimized Sr2CaI6 structure.

Lattice parameters (Å, degrees): 8.0464 8.0464 24.0158 90.00 90.00 90.00
Element x y z (fractional)
Sr (0.0000, 0.0000, 0.1659)
Sr (0.0000, 0.0000, 0.8341)
Sr (0.0000, 0.5000, 0.3357)
Sr (0.0000, 0.5000, 0.6643)
Sr (0.5000, 0.0000, 0.3357)
Sr (0.5000, 0.0000, 0.6643)
Sr (0.5000, 0.5000, 0.1659)
Sr (0.5000, 0.5000, 0.8341)
Ca (0.0000, 0.0000, 0.5000)
Ca (0.0000, 0.5000, 0.0000)
Ca (0.5000, 0.0000, 0.0000)
Ca (0.5000, 0.5000, 0.5000)
I (0.2044, 0.2084, 0.5840)
I (0.2084, 0.7956, 0.4160)
I (0.2088, 0.2831, 0.9160)
I (0.2169, 0.2912, 0.0840)
I (0.2244, 0.7503, 0.7496)
I (0.2497, 0.2244, 0.2504)
I (0.2503, 0.7244, 0.2504)
I (0.2756, 0.2503, 0.7496)
I (0.2831, 0.7912, 0.0840)
I (0.2912, 0.7831, 0.9160)
I (0.2916, 0.2956, 0.4160)
I (0.2956, 0.7084, 0.5840)
I (0.7044, 0.2916, 0.5840)
I (0.7084, 0.7044, 0.4160)
I (0.7088, 0.2169, 0.9160)
I (0.7169, 0.2088, 0.0840)
I (0.7244, 0.7497, 0.7496)
I (0.7497, 0.2756, 0.2504)
I (0.7503, 0.7756, 0.2504)
I (0.7756, 0.2497, 0.7496)
I (0.7831, 0.7088, 0.0840)
I (0.7912, 0.7169, 0.9160)
I (0.7916, 0.2044, 0.4160)
I (0.7956, 0.7916, 0.5840)

Summary:
Size of the total moment: 0.0 μB/f.u.


Short version: arrangement b is the least stable of them.


Arrangement a

The following is a DFT calculation (PBE) of a geometry-optimized Sr3CaI structure.

Lattice parameters (Å, degrees): 6.4156 6.4156 6.4156 90.00 90.00 90.00
Element x y z (fractional)
Sr (0.0000, 0.0000, 0.5000)
Sr (0.0000, 0.5000, 0.0000)
Sr (0.5000, 0.0000, 0.0000)
Ca (0.5000, 0.5000, 0.5000)
I (0.0000, 0.0000, 0.0000)

Summary:
Size of the total moment: 0.9 μB/f.u.


Arrangement b

The following is a DFT calculation (PBE) of a geometry-optimized Sr3CaI structure.

Lattice parameters (Å, degrees): 7.1326 7.1326 7.1326 90.00 90.00 90.00
Element x y z (fractional)
Sr (0.0000, 0.0000, 0.5000)
Sr (0.0000, 0.5000, 0.0000)
Sr (0.5000, 0.0000, 0.0000)
Ca (0.0000, 0.0000, 0.0000)
I (0.5000, 0.5000, 0.5000)

Summary:
Size of the total moment: 0.0 μB/f.u.


Short version: arrangement b is the least stable of them.


Arrangement a

The following is a DFT calculation (PBE) of a geometry-optimized SrCaTe2I structure.

Lattice parameters (Å, degrees): 5.8622 5.8622 5.9918 90.00 90.00 90.00
Element x y z (fractional)
Sr (0.0000, 0.0000, 0.0000)
Ca (0.5000, 0.5000, 0.5000)
Te (0.0000, 0.5000, 0.5000)
Te (0.5000, 0.0000, 0.5000)
I (0.5000, 0.5000, 0.0000)

Summary:
Size of the total moment: 0.0 μB/f.u.


Arrangement b

The following is a DFT calculation (PBE) of a geometry-optimized SrCaTe2I structure.

Lattice parameters (Å, degrees): 6.1136 6.1136 6.1469 90.00 90.00 90.00
Element x y z (fractional)
Sr (0.0000, 0.0000, 0.0000)
Ca (0.5000, 0.5000, 0.5000)
Te (0.0000, 0.5000, 0.0000)
Te (0.5000, 0.0000, 0.0000)
I (0.0000, 0.0000, 0.5000)

Summary:
Size of the total moment: 0.0 μB/f.u.


Short version: arrangement b is the least stable of them.


Arrangement a

The following is a DFT calculation (PBE) of a geometry-optimized Ca3TaI structure.

Lattice parameters (Å, degrees): 5.6973 5.6973 5.6973 90.00 90.00 90.00
Element x y z (fractional)
Ca (0.0000, 0.0000, 0.5000)
Ca (0.0000, 0.5000, 0.0000)
Ca (0.5000, 0.0000, 0.0000)
Ta (0.0000, 0.0000, 0.0000)
I (0.5000, 0.5000, 0.5000)

Summary:
Size of the total moment: 0.0 μB/f.u.


Arrangement b

The following is a DFT calculation (PBE) of a geometry-optimized Ca3TaI structure.

Lattice parameters (Å, degrees): 5.7591 5.7591 5.7591 90.00 90.00 90.00
Element x y z (fractional)
Ca (0.0000, 0.0000, 0.5000)
Ca (0.0000, 0.5000, 0.0000)
Ca (0.5000, 0.0000, 0.0000)
Ta (0.5000, 0.5000, 0.5000)
I (0.0000, 0.0000, 0.0000)

Summary:
Size of the total moment: 4.0 μB/f.u.


Short version: arrangement b is the least stable of them.


Arrangement a

The following is a DFT calculation (PBE) of a geometry-optimized Ca2TbI structure.

Lattice parameters (Å, degrees): 3.8967 3.8967 32.5576 90.00 90.00 120.00
Element x y z (fractional)
Ca (0.0000, 0.0000, 0.2427)
Ca (0.0000, 0.0000, 0.7573)
Ca (0.3333, 0.6667, 0.4239)
Ca (0.3333, 0.6667, 0.9094)
Ca (0.6667, 0.3333, 0.0906)
Ca (0.6667, 0.3333, 0.5761)
Tb (0.0000, 0.0000, 0.0000)
Tb (0.3333, 0.6667, 0.6667)
Tb (0.6667, 0.3333, 0.3333)
I (0.0000, 0.0000, 0.5000)
I (0.3333, 0.6667, 0.1667)
I (0.6667, 0.3333, 0.8333)

Summary:
Size of the total moment: 0.0 μB/f.u.


Arrangement b

The following is a DFT calculation (PBE) of a geometry-optimized Ca2TbI structure.

Lattice parameters (Å, degrees): 3.8018 3.8018 9.9247 90.00 90.00 90.00
Element x y z (fractional)
Ca (0.0000, 0.0000, 0.2380)
Ca (0.0000, 0.0000, 0.7620)
Tb (0.5000, 0.5000, 0.5000)
I (0.5000, 0.5000, 0.0000)

Summary:
Size of the total moment: 0.5 μB/f.u.


Short version: arrangement b is the least stable of them.


Arrangement a

The following is a DFT calculation (PBE) of a geometry-optimized CaTcI2 structure.

Lattice parameters (Å, degrees): 4.1049 4.1049 28.4574 90.00 90.00 120.00
Element x y z (fractional)
Ca (0.0000, 0.0000, 0.0000)
Ca (0.3333, 0.6667, 0.6667)
Ca (0.6667, 0.3333, 0.3333)
Tc (0.0000, 0.0000, 0.5000)
Tc (0.3333, 0.6667, 0.1667)
Tc (0.6667, 0.3333, 0.8333)
I (0.0000, 0.0000, 0.4045)
I (0.0000, 0.0000, 0.5955)
I (0.3333, 0.6667, 0.0712)
I (0.3333, 0.6667, 0.2621)
I (0.6667, 0.3333, 0.7379)
I (0.6667, 0.3333, 0.9288)

Summary:
Size of the total moment: 3.4 μB/f.u.


Arrangement b

The following is a DFT calculation (PBE) of a geometry-optimized CaTcI2 structure.

Lattice parameters (Å, degrees): 7.4845 7.4845 7.4845 90.00 90.00 90.00
Element x y z (fractional)
Ca (0.0000, 0.0000, 0.0000)
Ca (0.0000, 0.5000, 0.5000)
Ca (0.5000, 0.0000, 0.5000)
Ca (0.5000, 0.5000, 0.0000)
Tc (0.0000, 0.0000, 0.5000)
Tc (0.0000, 0.5000, 0.0000)
Tc (0.5000, 0.0000, 0.0000)
Tc (0.5000, 0.5000, 0.5000)
I (0.2500, 0.2500, 0.2500)
I (0.2500, 0.2500, 0.7500)
I (0.2500, 0.7500, 0.2500)
I (0.2500, 0.7500, 0.7500)
I (0.7500, 0.2500, 0.2500)
I (0.7500, 0.2500, 0.7500)
I (0.7500, 0.7500, 0.2500)
I (0.7500, 0.7500, 0.7500)

Summary:
Size of the total moment: 3.0 μB/f.u.


Arrangement c

The following is a DFT calculation (PBE) of a geometry-optimized CaTcI2 structure.

Lattice parameters (Å, degrees): 5.5994 5.5994 17.2140 90.00 90.00 90.00
Element x y z (fractional)
Ca (0.0000, 0.0000, 0.0000)
Ca (0.0000, 0.5000, 0.2500)
Ca (0.5000, 0.0000, 0.7500)
Ca (0.5000, 0.5000, 0.5000)
Tc (0.0000, 0.0000, 0.5000)
Tc (0.0000, 0.5000, 0.7500)
Tc (0.5000, 0.0000, 0.2500)
Tc (0.5000, 0.5000, 0.0000)
I (0.2085, 0.2500, 0.6250)
I (0.2500, 0.7085, 0.8750)
I (0.2500, 0.7915, 0.3750)
I (0.2915, 0.2500, 0.1250)
I (0.7085, 0.7500, 0.1250)
I (0.7500, 0.2085, 0.3750)
I (0.7500, 0.2915, 0.8750)
I (0.7915, 0.7500, 0.6250)

Summary:
Size of the total moment: 3.0 μB/f.u.


Short version: arrangement a is the least stable of them.


Arrangement a

The following is a DFT calculation (PBE) of a geometry-optimized CaTcTeI2 structure.

Lattice parameters (Å, degrees): 5.8334 5.8334 6.1911 90.00 90.00 90.00
Element x y z (fractional)
Ca (0.0000, 0.0000, 0.0000)
Tc (0.5000, 0.5000, 0.5000)
Te (0.0000, 0.0000, 0.5000)
I (0.0000, 0.5000, 0.0000)
I (0.5000, 0.0000, 0.0000)

Summary:
Size of the total moment: 5.0 μB/f.u.


Arrangement b

The following is a DFT calculation (PBE) of a geometry-optimized CaTcTeI2 structure.

Lattice parameters (Å, degrees): 5.5798 5.5798 5.1780 90.00 90.00 90.00
Element x y z (fractional)
Ca (0.0000, 0.0000, 0.0000)
Tc (0.5000, 0.5000, 0.5000)
Te (0.5000, 0.5000, 0.0000)
I (0.0000, 0.5000, 0.5000)
I (0.5000, 0.0000, 0.5000)

Summary:
Size of the total moment: 0.6 μB/f.u.


Short version: arrangement a is the least stable of them.